## AcPmBi4Rh2 (PBE)

Data for an optimized crystal structure of AcPmBi4Rh2.

Cell and atoms, written as CIF:
```
data_AcPmBi4Rh2
_chemical_formula_sum 'Ac1 Pm1 Bi4 Rh2'
_cell_length_a 4.913
_cell_length_b 4.913
_cell_length_c 10.003
_cell_angle_alpha 90.00
_cell_angle_beta 90.00
_cell_angle_gamma 90.00
_symmetry_space_group_name_H-M 'P 1'
_symmetry_Int_Tables_number 1
_symmetry_space_group_name_Hall 'P 1'
loop_
_atom_site_label
_atom_site_type_symbol
_atom_site_fract_x
_atom_site_fract_y
_atom_site_fract_z
Ac1 Ac 0.000 0.000 0.000
Pm1 Pm 0.000 0.000 0.500
Bi1 Bi 0.000 0.500 0.251
Bi2 Bi 0.000 0.500 0.749
Bi3 Bi 0.500 0.000 0.251
Bi4 Bi 0.500 0.000 0.749
Rh1 Rh 0.500 0.500 0.371
Rh2 Rh 0.500 0.500 0.629
```

Electronic total energy, eV/atom: -5.253
Crystal system: tetragonal
M_tot, Bohr magnetons per cell: 0.000
Calculated volume, Å³ per atom: 30.177
Calculated formation energy, eV/atom: -0.37
SG: P4/mmm, No. 123